# 1
Entry from the Alexandria database: crystalline TlCoAs2 at its relaxed geometry (GGA-PBE).

Unit cell a=2.9677 b=2.9677 c=9.0696 alpha=90.00 beta=90.00 gamma=90.00
Space group P4/mmm (No. 123)
Unique sites:
Tl (0.0000, 0.0000, 0.0000) (multiplicity 1)
Co (0.0000, 0.0000, 0.5000) (multiplicity 1)
As (0.5000, 0.5000, 0.3405) (multiplicity 2)

Values from the calculation:
- Formation energy: 0.026 eV per atom
- Polymorph energy (0 for the lowest one): 0.0788 eV per atom
- N(E_F): 3.81 states/eV per cell

***

# 2
Entry from the Alexandria database: crystalline Tl3CoAs at its relaxed geometry (GGA-PBE).

Unit cell a=5.5149 b=5.5149 c=5.5149 alpha=90.00 beta=90.00 gamma=90.00
Space group Pm-3m (No. 221)
Unique sites:
Tl (0.0000, 0.0000, 0.5000) (multiplicity 3)
Co (0.5000, 0.5000, 0.5000) (multiplicity 1)
As (0.0000, 0.0000, 0.0000) (multiplicity 1)

Values from the calculation:
- Formation energy: 0.962 eV per atom
- Polymorph energy (0 for the lowest one): 0.5226 eV per atom
- N(E_F): 3.42 states/eV per cell